Material: LiMnP2O8
Method: DFT, GGA+U
State: optimized geometry Values from VASP.

Results
space-group type = No. 14
calculated volume = 10.98 Å³ per atom
calculated total energy = -163.0 eV per cell

Cell and atoms, written as Quantum ESPRESSO input:
```
&SYSTEM
  ibrav = 0, nat = 24, ntyp = 4
/
ATOMIC_SPECIES
Li 6.94 Li.upf
Mn 54.94 Mn.upf
P 30.97 P.upf
O 16.00 O.upf
CELL_PARAMETERS angstrom
4.8187 0.0000 0.0000
0.0000 8.4586 0.0000
-4.5624 0.0000 6.4642
ATOMIC_POSITIONS angstrom
Li 0.0000 0.0000 0.0000
Li -2.2812 4.2293 3.2321
Mn 0.1281 0.0000 3.2321
Mn 2.4093 4.2293 0.0000
P -2.3014 1.4333 4.8444
P -0.0202 2.7960 1.6123
P 0.2765 5.6626 4.8519
P 2.5577 7.0253 1.6198
O -3.7210 5.2523 6.0988
O -1.4397 7.4356 2.8667
O -0.2362 1.2487 1.7458
O -2.5174 2.9806 4.9780
O -2.7996 0.8330 6.1767
O -0.5183 3.3963 2.9446
O -1.2110 5.2811 5.0960
O 1.0702 7.4068 1.8639
O -0.8139 1.0518 4.6003
O 1.4673 3.1775 1.3682
O 0.7746 5.0623 3.5196
O 3.0558 7.6256 0.2875
O 2.7736 5.4780 1.4863
O 0.4924 7.2099 4.7184
O 1.6960 1.0230 3.5975
O 3.9772 3.2063 0.3654
```